Entry 1:
Entry from the Alexandria database: In3I2 after structural relaxation (PBE).

a = 6.563 Å, b = 6.563 Å, c = 10.752 Å
α = 72.23°, β = 72.23°, γ = 60.00°
Element x y z (fractional)
I 0.815 0.815 0.555
I 0.315 0.315 0.055
I 0.185 0.185 0.445
I 0.685 0.685 0.945
In 0.174 0.750 0.750
In 0.750 0.326 0.750
In 0.326 0.174 0.750
In 0.250 0.674 0.250
In 0.674 0.826 0.250
In 0.826 0.250 0.250

Summary:
ΔE_f (raw)	-0.21	eV/atom
M_tot	0.0	μB/f.u.
calculated total energy	-24.69	eV per cell
space group	R-3c (167)


Entry 2:
Entry from the Alexandria database: In3I4 after structural relaxation (PBE).

a = 4.518 Å, b = 8.502 Å, c = 9.374 Å
α = 118.05°, β = 103.95°, γ = 90.00°
Element x y z (fractional)
In 0.000 0.000 0.000
In 0.270 0.272 0.539
In 0.730 0.728 0.461
I 0.124 0.418 0.248
I 0.876 0.582 0.752
I 0.381 0.041 0.762
I 0.619 0.959 0.238

Summary:
ΔE_f (raw)	-0.43	eV/atom
M_tot	0.0	μB/f.u.
calculated total energy	-17.43	eV per cell
space group	C2/m (12)


Entry 3:
Entry from the Alexandria database: InI after structural relaxation (PBE).

a = 12.854 Å, b = 12.854 Å, c = 4.474 Å
α = 90.00°, β = 90.00°, γ = 90.00°
Element x y z (fractional)
In 0.358 0.126 0.000
In 0.642 0.874 0.000
In 0.874 0.358 0.000
In 0.126 0.642 0.000
In 0.858 0.626 0.500
In 0.142 0.374 0.500
In 0.374 0.858 0.500
In 0.626 0.142 0.500
I 0.196 0.882 0.000
I 0.804 0.118 0.000
I 0.118 0.196 0.000
I 0.882 0.804 0.000
I 0.696 0.382 0.500
I 0.304 0.618 0.500
I 0.618 0.696 0.500
I 0.382 0.304 0.500

Summary:
ΔE_f (raw)	-0.37	eV/atom
M_tot	0.0	μB/f.u.
calculated total energy	-40.18	eV per cell
space group	I4/m (87)


Entry 4:
Entry from the Alexandria database: InI4 after structural relaxation (PBE).

a = 14.142 Å, b = 14.142 Å, c = 14.142 Å
α = 60.00°, β = 60.00°, γ = 60.00°
Element x y z (fractional)
In 0.750 0.250 0.750
In 0.250 0.750 0.750
In 0.750 0.750 0.250
In 0.250 0.250 0.750
In 0.250 0.750 0.250
In 0.750 0.250 0.250
I 0.710 0.290 0.059
I 0.290 0.941 0.059
I 0.059 0.710 0.290
I 0.941 0.059 0.290
I 0.290 0.059 0.710
I 0.941 0.710 0.059
I 0.059 0.290 0.941
I 0.710 0.941 0.290
I 0.059 0.941 0.710
I 0.941 0.290 0.710
I 0.710 0.059 0.941
I 0.290 0.710 0.941
I 0.790 0.210 0.559
I 0.210 0.559 0.790
I 0.441 0.790 0.559
I 0.559 0.441 0.790
I 0.559 0.790 0.210
I 0.210 0.441 0.559
I 0.790 0.559 0.441
I 0.441 0.210 0.790
I 0.441 0.559 0.210
I 0.790 0.441 0.210
I 0.559 0.210 0.441
I 0.210 0.790 0.441

Summary:
ΔE_f (raw)	-0.21	eV/atom
M_tot	1.2	μB/f.u.
calculated total energy	-60.04	eV per cell
space group	Fm-3c (226)


Entry 5:
Entry from the Alexandria database: In2I after structural relaxation (PBE).

a = 6.601 Å, b = 6.601 Å, c = 6.601 Å
α = 60.00°, β = 60.00°, γ = 60.00°
Element x y z (fractional)
I 0.000 0.000 0.000
I 0.250 0.250 0.250
In 0.125 0.625 0.625
In 0.625 0.125 0.625
In 0.625 0.625 0.625
In 0.625 0.625 0.125

Summary:
ΔE_f (raw)	-0.09	eV/atom
M_tot	0.0	μB/f.u.
calculated total energy	-14.61	eV per cell
energy relative to the lowest polymorph listed for this composition	53	meV/atom
space group	Fd-3m (227)


Entry 6:
Entry from the Alexandria database: In6I5 after structural relaxation (PBE).

a = 5.001 Å, b = 9.565 Å, c = 10.610 Å
α = 116.78°, β = 103.61°, γ = 90.05°
Element x y z (fractional)
In 0.499 0.738 0.000
In 0.501 0.262 0.000
In 0.834 0.087 0.667
In 0.833 0.581 0.667
In 0.166 0.913 0.333
In 0.167 0.419 0.333
I 0.000 0.500 0.000
I 0.681 0.681 0.361
I 0.319 0.319 0.639
I 0.369 0.869 0.738
I 0.631 0.131 0.262

Summary:
ΔE_f (raw)	-0.28	eV/atom
M_tot	0.0	μB/f.u.
calculated total energy	-27.23	eV per cell
energy relative to the lowest polymorph listed for this composition	35	meV/atom
space group	C2/m (12)


Entry 7:
Entry from the Alexandria database: InI after structural relaxation (PBE).

a = 7.865 Å, b = 7.865 Å, c = 7.865 Å
α = 90.00°, β = 90.00°, γ = 90.00°
Element x y z (fractional)
In 0.250 0.250 0.250
In 0.250 0.750 0.750
In 0.750 0.250 0.750
In 0.750 0.750 0.250
I 0.000 0.000 0.000
I 0.000 0.500 0.500
I 0.500 0.000 0.500
I 0.500 0.500 0.000

Summary:
ΔE_f (raw)	-0.36	eV/atom
M_tot	0.0	μB/f.u.
calculated total energy	-20.04	eV per cell
space group	F-43m (216)


Entry 8:
Entry from the Alexandria database: In2I after structural relaxation (PBE).

a = 4.131 Å, b = 4.131 Å, c = 6.486 Å
α = 108.73°, β = 108.73°, γ = 90.03°
Element x y z (fractional)
I 0.500 0.500 0.000
In 0.188 0.188 0.378
In 0.812 0.812 0.622

Summary:
ΔE_f (raw)	-0.15	eV/atom
M_tot	0.0	μB/f.u.
calculated total energy	-7.47	eV per cell
energy relative to the lowest polymorph listed for this composition	0	meV/atom
space group	C2/m (12)


Entry 9:
Entry from the Alexandria database: InI after structural relaxation (PBE).

a = 8.217 Å, b = 7.868 Å, c = 10.517 Å
α = 90.00°, β = 90.00°, γ = 90.00°
Element x y z (fractional)
In 0.745 0.478 0.371
In 0.245 0.022 0.129
In 0.255 0.978 0.629
In 0.755 0.522 0.871
In 0.255 0.522 0.629
In 0.755 0.978 0.871
In 0.745 0.022 0.371
In 0.245 0.478 0.129
I 0.582 0.250 0.659
I 0.082 0.250 0.841
I 0.418 0.750 0.341
I 0.918 0.750 0.159
I 0.617 0.250 0.086
I 0.117 0.250 0.414
I 0.383 0.750 0.914
I 0.883 0.750 0.586

Summary:
ΔE_f (raw)	-0.44	eV/atom
M_tot	0.0	μB/f.u.
calculated total energy	-41.39	eV per cell
space group	Pnma (62)


Entry 10:
Entry from the Alexandria database: InI4 after structural relaxation (PBE).

a = 5.942 Å, b = 5.942 Å, c = 5.942 Å
α = 90.00°, β = 90.00°, γ = 90.00°
Element x y z (fractional)
I 0.000 0.000 0.000
I 0.500 0.000 0.500
I 0.000 0.500 0.500
I 0.500 0.500 0.000
In 0.500 0.500 0.500

Summary:
ΔE_f (raw)	-0.01	eV/atom
M_tot	1.3	μB/f.u.
calculated total energy	-8.98	eV per cell
space group	Pm-3m (221)


Entry 11:
Entry from the Alexandria database: In2I3 after structural relaxation (PBE).

a = 7.946 Å, b = 7.926 Å, c = 9.064 Å
α = 64.01°, β = 64.00°, γ = 59.92°
Element x y z (fractional)
In 0.839 0.839 0.983
In 0.661 0.661 0.517
In 0.339 0.339 0.483
In 0.161 0.161 0.017
I 0.250 0.577 0.750
I 0.577 0.923 0.750
I 0.925 0.250 0.750
I 0.075 0.750 0.250
I 0.423 0.077 0.250
I 0.750 0.423 0.250

Summary:
ΔE_f (raw)	-0.41	eV/atom
M_tot	0.0	μB/f.u.
calculated total energy	-24.39	eV per cell
energy relative to the lowest polymorph listed for this composition	0	meV/atom
space group	C2/c (15)


Entry 12:
Entry from the Alexandria database: InI after structural relaxation (PBE).

a = 4.831 Å, b = 8.555 Å, c = 4.838 Å
α = 90.00°, β = 119.87°, γ = 90.00°
Element x y z (fractional)
In 0.000 0.000 0.000
In 0.000 0.500 0.000
I 0.333 0.250 0.665
I 0.667 0.750 0.335

Summary:
ΔE_f (raw)	-0.44	eV/atom
M_tot	0.0	μB/f.u.
calculated total energy	-10.35	eV per cell
space group	Cmcm (63)